TlPd3F | PBE | optimized geometry

abc: 5.1443 5.1443 5.1443
angles: 90.00 90.00 90.00
Closest atoms and distances in Å follow each position.
Atoms (fractional coordinates):
Tl (0.0000, 0.0000, 0.0000)  6 Pd 2.57
Pd (0.0000, 0.5000, 0.0000)  2 Tl 2.57
Pd (0.0000, 0.0000, 0.5000)  2 Tl 2.57
Pd (0.5000, 0.0000, 0.0000)  2 Tl 2.57
F (0.5000, 0.5000, 0.5000)  12 Pd 3.64

Calculated values
**Uncorrected formation energy**: 0.724 eV per atom
**Density of states at the Fermi level**: 0.6 states/eV per cell
**SG**: No. 221
**Polymorph energy (0 for the lowest one)**: 0.663 eV/atom